Record 1
P2Pd2Au | GGA-PBE | relaxed

Lattice parameters (Å, degrees): 7.1024 7.1024 7.1024 151.67 151.67 40.50
Atoms (fractional coordinates):
P 0.2500 0.7500 0.5000
P 0.7500 0.2500 0.5000
Pd 0.1105 0.1105 0.0000
Pd 0.8895 0.8895 0.0000
Au 0.5000 0.5000 0.0000

Output
E above lowest polymorph, meV/atom: 6
V, Å³ per cell: 81
ΔH_f (0 K), eV/f.u.: 0.04
VASP energy, eV/atom: -4.89

Record 2
P2PdAu2 | GGA-PBE | relaxed

Lattice parameters (Å, degrees): 3.8911 4.3864 5.6727 99.00 107.12 95.85
Atoms (fractional coordinates):
P 0.0041 0.2834 0.3760
P 0.9959 0.7166 0.6240
Pd 0.5000 0.0000 0.5000
Au 0.0000 0.5000 0.0000
Au 0.5000 0.0000 0.0000

Output
E above lowest polymorph, meV/atom: 0
V, Å³ per cell: 90
ΔH_f (0 K), eV/f.u.: -0.51
VASP energy, eV/atom: -4.61

Record 3
PPd4Au | GGA-PBE | relaxed

Lattice parameters (Å, degrees): 7.3996 3.0520 16.7219 90.00 90.00 90.00
Atoms (fractional coordinates):
P 0.1999 0.2500 0.0666
P 0.3001 0.7500 0.5666
P 0.6999 0.2500 0.4334
P 0.8001 0.7500 0.9334
Pd 0.0611 0.2500 0.5645
Pd 0.0914 0.7500 0.1630
Pd 0.0946 0.7500 0.7111
Pd 0.1353 0.7500 0.9557
Pd 0.3647 0.2500 0.4557
Pd 0.4054 0.2500 0.2111
Pd 0.4086 0.2500 0.6630
Pd 0.4389 0.7500 0.0645
Pd 0.5611 0.2500 0.9355
Pd 0.5914 0.7500 0.3370
Pd 0.5946 0.7500 0.7889
Pd 0.6353 0.7500 0.5443
Pd 0.8647 0.2500 0.0443
Pd 0.9054 0.2500 0.2889
Pd 0.9086 0.2500 0.8370
Pd 0.9389 0.7500 0.4355
Au 0.2161 0.7500 0.3258
Au 0.2839 0.2500 0.8258
Au 0.7161 0.7500 0.1742
Au 0.7839 0.2500 0.6742

Output
V, Å³ per cell: 378
ΔH_f (0 K), eV/f.u.: -1.55
VASP energy, eV/atom: -5.17

Record 4
P2PdAu2 | GGA-PBE | relaxed

Lattice parameters (Å, degrees): 3.2550 4.5951 5.8697 90.00 90.00 90.00
Atoms (fractional coordinates):
P 0.0000 0.0000 0.0000
P 0.5000 0.0000 0.2640
Pd 0.0000 0.0000 0.5895
Au 0.0000 0.5000 0.8732
Au 0.5000 0.5000 0.4172

Output
E above lowest polymorph, meV/atom: 24
V, Å³ per cell: 88
ΔH_f (0 K), eV/f.u.: -0.39
VASP energy, eV/atom: -4.59

Record 5
PPd2Au | GGA-PBE | relaxed

Lattice parameters (Å, degrees): 6.5652 6.5652 6.5652 31.27 31.27 31.27
Atoms (fractional coordinates):
P 0.0000 0.0000 0.0000
Pd 0.2666 0.2666 0.2666
Pd 0.7334 0.7334 0.7334
Au 0.5000 0.5000 0.5000

Output
E above lowest polymorph, meV/atom: 22
V, Å³ per cell: 68
ΔH_f (0 K), eV/f.u.: -0.74
VASP energy, eV/atom: -4.95

Record 6
PPd3Au | GGA-PBE | relaxed

Lattice parameters (Å, degrees): 4.9222 4.9222 4.9222 90.00 90.00 90.00
Atoms (fractional coordinates):
P 0.0000 0.0000 0.0000
Pd 0.0000 0.5000 0.5000
Pd 0.5000 0.0000 0.5000
Pd 0.5000 0.5000 0.0000
Au 0.5000 0.5000 0.5000

Output
E above lowest polymorph, meV/atom: 1617
V, Å³ per cell: 119
ΔH_f (0 K), eV/f.u.: 6.64
VASP energy, eV/atom: -3.53

Record 7
P2PdAu2 | GGA-PBE | relaxed

Lattice parameters (Å, degrees): 7.2458 7.2458 4.4828 107.77 107.77 108.62
Atoms (fractional coordinates):
P 0.2072 0.2072 0.4586
P 0.4141 0.0436 0.4589
P 0.7928 0.7928 0.5414
P 0.9564 0.5859 0.5411
Pd 0.0780 0.1636 0.8711
Pd 0.8364 0.9220 0.1289
Au 0.1197 0.6282 0.1303
Au 0.3718 0.8803 0.8697
Au 0.4705 0.5295 0.5000
Au 0.7271 0.2729 0.0000

Output
E above lowest polymorph, meV/atom: 9
V, Å³ per cell: 190
ΔH_f (0 K), eV/f.u.: -0.46
VASP energy, eV/atom: -4.61

Record 8
PmPPdAu | GGA-PBE | relaxed

Lattice parameters (Å, degrees): 4.8003 4.8003 4.8003 60.00 60.00 60.00
Atoms (fractional coordinates):
Pm 0.0000 0.0000 0.0000
P 0.2500 0.2500 0.2500
Pd 0.7500 0.7500 0.7500
Au 0.5000 0.5000 0.5000

Output
V, Å³ per cell: 78
ΔH_f (0 K), eV/f.u.: -2.04
VASP energy, eV/atom: -5.17

Record 9
Pm3P2Pd9Au | GGA-PBE | relaxed

Lattice parameters (Å, degrees): 5.7527 5.7527 10.6650 90.00 90.00 120.00
Atoms (fractional coordinates):
Pm 0.0000 0.0000 0.0000
Pm 0.3333 0.6667 0.5964
Pm 0.6667 0.3333 0.4036
P 0.3333 0.6667 0.1545
P 0.6667 0.3333 0.8455
Pd 0.0000 0.5000 0.0000
Pd 0.1638 0.3276 0.2985
Pd 0.1638 0.8362 0.2985
Pd 0.3276 0.1638 0.7015
Pd 0.5000 0.0000 0.0000
Pd 0.5000 0.5000 0.0000
Pd 0.6724 0.8362 0.2985
Pd 0.8362 0.1638 0.7015
Pd 0.8362 0.6724 0.7015
Au 0.0000 0.0000 0.5000

Output
V, Å³ per cell: 306
ΔH_f (0 K), eV/f.u.: -9.64
VASP energy, eV/atom: -5.65

Record 10
Pr3P2Pd9Au | GGA-PBE | relaxed

Lattice parameters (Å, degrees): 5.8047 5.8047 10.6222 90.00 90.00 120.00
Atoms (fractional coordinates):
Pr 0.0000 0.0000 0.0000
Pr 0.3333 0.6667 0.6002
Pr 0.6667 0.3333 0.3998
P 0.3333 0.6667 0.1543
P 0.6667 0.3333 0.8457
Pd 0.0000 0.5000 0.0000
Pd 0.1633 0.3266 0.2971
Pd 0.1633 0.8367 0.2971
Pd 0.3266 0.1633 0.7029
Pd 0.5000 0.0000 0.0000
Pd 0.5000 0.5000 0.0000
Pd 0.6734 0.8367 0.2971
Pd 0.8367 0.1633 0.7029
Pd 0.8367 0.6734 0.7029
Au 0.0000 0.0000 0.5000

Output
V, Å³ per cell: 310
ΔH_f (0 K), eV/f.u.: -9.64
VASP energy, eV/atom: -5.65

Record 11
Pr2P3Pd4Au | GGA-PBE | relaxed

Lattice parameters (Å, degrees): 4.1909 4.1909 10.5913 90.00 90.00 90.00
Atoms (fractional coordinates):
Pr 0.0000 0.5000 0.2415
Pr 0.5000 0.0000 0.7585
P 0.0000 0.5000 0.8723
P 0.5000 0.0000 0.1277
P 0.5000 0.5000 0.5000
Pd 0.0000 0.0000 0.0000
Pd 0.0000 0.5000 0.6543
Pd 0.5000 0.0000 0.3457
Pd 0.5000 0.5000 0.0000
Au 0.0000 0.0000 0.5000

Output
V, Å³ per cell: 186
ΔH_f (0 K), eV/f.u.: -8.06
VASP energy, eV/atom: -5.79

Record 12
PPdPt2Au | GGA-PBE | relaxed

Lattice parameters (Å, degrees): 4.9351 4.9351 4.8801 90.00 90.00 90.00
Atoms (fractional coordinates):
P 0.0000 0.0000 0.0000
Pd 0.5000 0.5000 0.0000
Pt 0.0000 0.5000 0.5000
Pt 0.5000 0.0000 0.5000
Au 0.5000 0.5000 0.5000

Output
V, Å³ per cell: 119
ΔH_f (0 K), eV/f.u.: 7.89
VASP energy, eV/atom: -3.61

Question: Which of these has the highest V?
Answer: PPd4Au